VASP calculation (PBE) on crystalline Ce2TcIr at its relaxed geometry.

Total magnetic moment ... 0.02 μB/f.u.
Formation enthalpy at 0 K ... -132 kJ/mol of formula units
DOS at the Fermi energy ... 1.222 states/eV/atom
Total DFT energy (no corrections) ... -8.116 eV/atom

Cell: 3.5309 3.5309 6.7091 Å, 90.00 90.00 90.00°
Positions (direct):
Tc 0.5000 0.5000 0.0000
Ir 0.5000 0.5000 0.5000
Ce 0.0000 0.0000 0.2526
Ce 0.0000 0.0000 0.7474

---

VASP calculation (PBE) on crystalline LiAc2PaTe5 at its relaxed geometry.

Total magnetic moment ... 1.48 μB/f.u.
DOS at the Fermi energy ... 0.688 states/eV/atom
Total DFT energy (no corrections) ... -5.166 eV/atom

Cell: 4.5556 9.9206 13.5833 Å, 90.00 90.00 103.27°
Each line ends with the local moment (μB).
Positions (direct):
Te 0.6893 0.3786 0.8521  -0.02
Te 0.5029 0.0057 0.2782  0.00
Te 0.6393 0.2786 0.5025  -0.01
Te 0.0481 0.0962 0.0610  -0.02
Te 0.2874 0.5748 0.6673  -0.02
Te 0.7126 0.4252 0.1673  -0.02
Te 0.3607 0.7214 0.0025  -0.01
Te 0.3107 0.6214 0.3521  -0.02
Te 0.9519 0.9038 0.5610  -0.02
Te 0.4971 0.9943 0.7782  0.00
Ac 0.8907 0.7815 0.1895  0.01
Ac 0.8724 0.7448 0.8062  0.01
Ac 0.1093 0.2185 0.6895  0.01
Ac 0.1276 0.2552 0.3062  0.01
Pa 0.1986 0.3973 0.0112  1.28
Pa 0.8014 0.6027 0.5112  1.28
Li 0.4418 0.8835 0.4559  0.00
Li 0.5582 0.1165 0.9559  0.00

---

VASP calculation (PBE) on crystalline PmSm3Pb2C at its relaxed geometry.

Total magnetic moment ... 0.00 μB/f.u.
Formation enthalpy at 0 K ... -316 kJ/mol of formula units
DOS at the Fermi energy ... 0.131 states/eV/atom
Total DFT energy (no corrections) ... -5.546 eV/atom

Cell: 4.9821 4.9635 8.9682 Å, 106.07 106.13 90.00°
Positions (direct):
Pb 0.3588 0.3588 0.7175
Pb 0.6412 0.6412 0.2825
C 0.0000 0.0000 0.0000
Sm 0.8407 0.8407 0.6813
Sm 0.1593 0.1593 0.3187
Sm 0.0000 0.5000 0.0000
Pm 0.5000 0.0000 0.0000

---

Number 3 is which compound? PmSm3Pb2C

---

What is the formula in the first record? Ce2TcIr

---

Please write out number 2 again, unchanged.
VASP calculation (PBE) on crystalline LiAc2PaTe5 at its relaxed geometry.

Total magnetic moment ... 1.48 μB/f.u.
DOS at the Fermi energy ... 0.688 states/eV/atom
Total DFT energy (no corrections) ... -5.166 eV/atom

Cell: 4.5556 9.9206 13.5833 Å, 90.00 90.00 103.27°
Each line ends with the local moment (μB).
Positions (direct):
Te 0.6893 0.3786 0.8521  -0.02
Te 0.5029 0.0057 0.2782  0.00
Te 0.6393 0.2786 0.5025  -0.01
Te 0.0481 0.0962 0.0610  -0.02
Te 0.2874 0.5748 0.6673  -0.02
Te 0.7126 0.4252 0.1673  -0.02
Te 0.3607 0.7214 0.0025  -0.01
Te 0.3107 0.6214 0.3521  -0.02
Te 0.9519 0.9038 0.5610  -0.02
Te 0.4971 0.9943 0.7782  0.00
Ac 0.8907 0.7815 0.1895  0.01
Ac 0.8724 0.7448 0.8062  0.01
Ac 0.1093 0.2185 0.6895  0.01
Ac 0.1276 0.2552 0.3062  0.01
Pa 0.1986 0.3973 0.0112  1.28
Pa 0.8014 0.6027 0.5112  1.28
Li 0.4418 0.8835 0.4559  0.00
Li 0.5582 0.1165 0.9559  0.00